# 1
Computed, not measured: crystalline Cs2SiAgPt at its relaxed geometry at the PBE level of DFT.

Properties
Its crystal system is tetragonal. For the formation energy without anion corrections, the calculation gives 0.7921 eV/atom. As for the space group: P4/mmm (123). For the total energy, the calculation gives -12.06 eV/f.u.

Cell lengths 6.724, 6.724, 5.138 Å; angles 90.00, 90.00, 90.00 degrees
Fractional positions:
Cs  0.000  0.500  0.000
Cs  0.500  0.000  0.000
Si  0.000  0.000  0.500
Ag  0.500  0.500  0.000
Pt  0.500  0.500  0.500

# 2
Computed, not measured: crystalline CaZrRh2 at its relaxed geometry at the PBE level of DFT.

Properties
The calculation puts the formation energy at -563 meV per atom. As for the energy relative to the lowest polymorph listed for this composition: 125 meV/atom. Its crystal system is monoclinic. As for the space group: C2/m (12). For the total energy, the calculation gives -27.50 eV/f.u.

Cell lengths 4.749, 4.749, 3.293 Å; angles 90.06, 90.06, 89.81 degrees
Fractional positions:
Ca  0.000  0.000  0.000
Zr  0.500  0.500  0.000
Rh  0.000  0.500  0.500
Rh  0.500  0.000  0.500

# 3
Computed, not measured: crystalline Al2AgSb at its relaxed geometry at the PBE level of DFT.

Properties
Its crystal system is tetragonal. For the formation energy without anion corrections, the calculation gives 0.2803 eV/atom. As for the space group: I-42d (122). For the total energy, the calculation gives -13.34 eV/f.u.

Cell lengths 6.786, 6.786, 6.786 Å; angles 121.50, 121.50, 87.41 degrees
Fractional positions:
Al  0.112  0.625  0.987
Al  0.375  0.362  0.487
Al  0.638  0.125  0.013
Al  0.875  0.888  0.513
Ag  0.000  0.000  0.000
Ag  0.750  0.250  0.500
Sb  0.250  0.750  0.500
Sb  0.500  0.500  0.000

# 4
Computed, not measured: crystalline BaZrPaO6 at its relaxed geometry at the PBE level of DFT.

Properties
Its crystal system is trigonal. For the formation energy without anion corrections, the calculation gives -3.0767 eV/atom. As for the space group: P-31c (163). For the total energy, the calculation gives -77.41 eV/f.u.

Cell lengths 5.824, 5.824, 11.203 Å; angles 90.00, 90.00, 120.00 degrees
Fractional positions:
Ba  0.000  0.000  0.000
Ba  0.000  0.000  0.500
Zr  0.333  0.667  0.250
Zr  0.667  0.333  0.750
Pa  0.333  0.667  0.750
Pa  0.667  0.333  0.250
O  0.004  0.381  0.149
O  0.004  0.623  0.351
O  0.377  0.381  0.351
O  0.377  0.996  0.149
O  0.381  0.004  0.649
O  0.381  0.377  0.851
O  0.619  0.623  0.149
O  0.619  0.996  0.351
O  0.623  0.004  0.851
O  0.623  0.619  0.649
O  0.996  0.377  0.649
O  0.996  0.619  0.851

# 5
Computed, not measured: crystalline TlAgI2Br6 at its relaxed geometry at the PBE level of DFT.

Properties
Its crystal system is triclinic. For the formation energy without anion corrections, the calculation gives -0.2324 eV/atom. As for the space group: P1 (1). For the total energy, the calculation gives -20.68 eV/f.u.

Cell lengths 6.142, 7.832, 9.215 Å; angles 102.85, 107.57, 106.67 degrees
Fractional positions:
Tl  0.000  0.000  0.000
Ag  0.001  0.501  0.501
I  0.311  0.764  0.181
I  0.689  0.236  0.819
Br  0.090  0.784  0.398
Br  0.120  0.254  0.290
Br  0.481  0.262  0.040
Br  0.518  0.738  0.959
Br  0.877  0.745  0.709
Br  0.912  0.216  0.603

# 6
Computed, not measured: crystalline NbSi2W at its relaxed geometry at the PBE level of DFT.

Properties
As for the energy relative to the lowest polymorph listed for this composition: 363 meV/atom. Its crystal system is trigonal. For the formation energy without anion corrections, the calculation gives 0.3206 eV/atom. As for the space group: R-3m (166). For the total energy, the calculation gives -32.59 eV/f.u.

Cell lengths 9.637, 9.637, 9.637 Å; angles 16.96, 16.96, 16.96 degrees
Fractional positions:
Nb  0.000  0.000  0.000
Si  0.410  0.410  0.410
Si  0.590  0.590  0.590
W  0.500  0.500  0.500

# 7
Computed, not measured: crystalline LaNi5As3 at its relaxed geometry at the PBE level of DFT.

Properties
The calculation puts the formation energy at -593 meV per atom. As for the energy relative to the lowest polymorph listed for this composition: 8 meV/atom. Its crystal system is orthorhombic. As for the space group: Pnma (62). For the total energy, the calculation gives -53.12 eV/f.u.

Cell lengths 11.212, 3.925, 24.421 Å; angles 90.00, 90.00, 90.00 degrees
Fractional positions:
La  0.087  0.250  0.104
La  0.088  0.750  0.338
La  0.412  0.250  0.838
La  0.413  0.750  0.604
La  0.587  0.250  0.396
La  0.588  0.750  0.162
La  0.912  0.250  0.662
La  0.913  0.750  0.896
Ni  0.020  0.250  0.534
Ni  0.021  0.750  0.770
Ni  0.089  0.750  0.004
Ni  0.103  0.250  0.850
Ni  0.118  0.750  0.589
Ni  0.162  0.250  0.751
Ni  0.196  0.250  0.233
Ni  0.208  0.750  0.490
Ni  0.212  0.750  0.914
Ni  0.220  0.250  0.653
Ni  0.280  0.750  0.153
Ni  0.288  0.250  0.414
Ni  0.292  0.250  0.990
Ni  0.304  0.750  0.733
Ni  0.338  0.750  0.251
Ni  0.382  0.250  0.089
Ni  0.397  0.750  0.350
Ni  0.411  0.250  0.504
Ni  0.479  0.250  0.270
Ni  0.480  0.750  0.034
Ni  0.520  0.250  0.966
Ni  0.521  0.750  0.730
Ni  0.589  0.750  0.496
Ni  0.603  0.250  0.650
Ni  0.618  0.750  0.911
Ni  0.662  0.250  0.749
Ni  0.696  0.250  0.267
Ni  0.708  0.750  0.010
Ni  0.712  0.750  0.586
Ni  0.720  0.250  0.847
Ni  0.780  0.750  0.347
Ni  0.788  0.250  0.086
Ni  0.792  0.250  0.510
Ni  0.804  0.750  0.767
Ni  0.838  0.750  0.249
Ni  0.882  0.250  0.411
Ni  0.897  0.750  0.150
Ni  0.911  0.250  0.996
Ni  0.979  0.250  0.230
Ni  0.980  0.750  0.466
As  0.088  0.250  0.440
As  0.088  0.750  0.203
As  0.100  0.250  0.947
As  0.123  0.750  0.685
As  0.202  0.750  0.818
As  0.227  0.250  0.557
As  0.273  0.750  0.057
As  0.298  0.250  0.318
As  0.377  0.250  0.185
As  0.400  0.750  0.447
As  0.412  0.250  0.703
As  0.412  0.750  0.940
As  0.588  0.250  0.060
As  0.588  0.750  0.297
As  0.600  0.250  0.553
As  0.623  0.750  0.815
As  0.702  0.750  0.682
As  0.727  0.250  0.943
As  0.773  0.750  0.443
As  0.798  0.250  0.182
As  0.877  0.250  0.315
As  0.900  0.750  0.053
As  0.912  0.250  0.797
As  0.912  0.750  0.560

Q: Which formula does entry 1 have?
A: Cs2SiAgPt

Q: Number 3 is which compound?
A: Al2AgSb